Record 1
Material: ScPt2F
Method: DFT, PBE
State: relaxed

Calculated values
Relative energy among the computed polymorphs = 0.000 eV per formula unit
Crystal system = tetragonal

a = 7.4788 Å, b = 7.4788 Å, c = 4.8607 Å
α = 90.00°, β = 90.00°, γ = 90.00°
Space group I-42d (No. 122)
Unique sites:
1 Sc 0.0000 0.0000 0.0000 [4 per cell]
2 Pt 0.2226 0.7500 0.6250 [8 per cell]
3 F 0.0000 0.0000 0.5000 [4 per cell]

Record 2
Material: CeUP
Method: DFT, PBE
State: relaxed

Calculated values
Crystal system = orthorhombic
Formation energy = -561.9 meV per atom

a = 3.8361 Å, b = 18.9370 Å, c = 4.1292 Å
α = 90.00°, β = 90.00°, γ = 90.00°
Space group Cmcm (No. 63)
Unique sites:
1 Ce 0.0000 0.1687 0.2500 [4 per cell]
2 U 0.0000 0.4602 0.2500 [4 per cell]
3 P 0.0000 0.3182 0.2500 [4 per cell]

no.,total magnetic moment (μB/f.u.),density (g/cm3)
1,0.00,11.095
2,1.92,9.059